No. 1
Compound: LiAl2Ge2
Source: Alexandria via LeMat-Bulk
Functional: SCAN
Structure: PBEsol geometry

Values from the calculation:
As for the space group: I4/mmm, No. 139. The calculation puts the formation energy from the elements at 0.030 eV/atom.

Geometry as CIF:
```
data_LiAl2Ge2
_cell_length_a 4.375
_cell_length_b 4.375
_cell_length_c 6.187
_cell_angle_alpha 110.71
_cell_angle_beta 110.71
_cell_angle_gamma 90.00
_symmetry_space_group_name_H-M 'P 1'
_symmetry_Int_Tables_number 1
loop_
_symmetry_equiv_pos_as_xyz
'x,y,z'
loop_
_atom_site_label
_atom_site_type_symbol
_atom_site_fract_x
_atom_site_fract_y
_atom_site_fract_z
_atom_site_occupancy
Li1 Li 0.000 0.000 0.000 1
Al1 Al 0.382 0.382 0.763 1
Al2 Al 0.618 0.618 0.237 1
Ge1 Ge 0.750 0.250 0.500 1
Ge2 Ge 0.250 0.750 0.500 1
```

No. 2
Compound: BaAu2S4O16
Source: Alexandria via LeMat-Bulk
Functional: SCAN
Structure: PBEsol geometry

Values from the calculation:
As for the space group: C2/m, No. 12. Its formation energy without anion corrections is -1460.9 meV per atom.

Geometry as CIF:
```
data_BaAu2S4O16
_cell_length_a 6.732
_cell_length_b 6.732
_cell_length_c 9.316
_cell_angle_alpha 72.92
_cell_angle_beta 72.92
_cell_angle_gamma 85.47
_symmetry_space_group_name_H-M 'P 1'
_symmetry_Int_Tables_number 1
loop_
_symmetry_equiv_pos_as_xyz
'x,y,z'
loop_
_atom_site_label
_atom_site_type_symbol
_atom_site_fract_x
_atom_site_fract_y
_atom_site_fract_z
_atom_site_occupancy
O1 O 0.035 0.707 0.847 1
O2 O 0.379 0.045 0.778 1
O3 O 0.635 0.333 0.661 1
S1 S 0.904 0.403 0.271 1
O4 O 0.692 0.994 0.596 1
Ba1 Ba 0.000 0.000 0.000 1
O5 O 0.006 0.308 0.404 1
S2 S 0.403 0.904 0.271 1
O6 O 0.707 0.035 0.847 1
O7 O 0.365 0.667 0.339 1
S3 S 0.096 0.597 0.729 1
O8 O 0.965 0.293 0.153 1
Au1 Au 0.500 0.500 0.500 1
O9 O 0.333 0.635 0.661 1
O10 O 0.045 0.379 0.778 1
O11 O 0.994 0.692 0.596 1
O12 O 0.308 0.006 0.404 1
Au2 Au 0.000 0.000 0.500 1
O13 O 0.667 0.365 0.339 1
O14 O 0.293 0.965 0.153 1
S4 S 0.597 0.096 0.729 1
O15 O 0.621 0.955 0.222 1
O16 O 0.955 0.621 0.222 1
```

No. 3
Compound: Sc2NiBr
Source: Alexandria via LeMat-Bulk
Functional: SCAN
Structure: PBEsol geometry

Values from the calculation:
As for the space group: Cmmm, No. 65. For the energy above the most stable polymorph in this dataset, the calculation gives 0.000 kcal/mol of atoms. Its formation energy without anion corrections is -365.8 meV per atom.

Geometry as CIF:
```
data_Sc2NiBr
_cell_length_a 3.109
_cell_length_b 4.759
_cell_length_c 4.759
_cell_angle_alpha 98.16
_cell_angle_beta 90.00
_cell_angle_gamma 90.00
_symmetry_space_group_name_H-M 'P 1'
_symmetry_Int_Tables_number 1
loop_
_symmetry_equiv_pos_as_xyz
'x,y,z'
loop_
_atom_site_label
_atom_site_type_symbol
_atom_site_fract_x
_atom_site_fract_y
_atom_site_fract_z
_atom_site_occupancy
Sc1 Sc 0.000 0.000 0.500 1
Ni1 Ni 0.500 0.500 0.500 1
Br1 Br 0.500 0.000 0.000 1
Sc2 Sc 0.000 0.500 0.000 1
```

No. 4
Compound: CuSbW2
Source: Alexandria via LeMat-Bulk
Functional: SCAN
Structure: PBEsol geometry

Values from the calculation:
As for the space group: Immm, No. 71. Its formation energy without anion corrections is 614.3 meV per atom.

Geometry as CIF:
```
data_CuSbW2
_cell_length_a 3.264
_cell_length_b 4.432
_cell_length_c 5.183
_cell_angle_alpha 115.31
_cell_angle_beta 108.35
_cell_angle_gamma 90.00
_symmetry_space_group_name_H-M 'P 1'
_symmetry_Int_Tables_number 1
loop_
_symmetry_equiv_pos_as_xyz
'x,y,z'
loop_
_atom_site_label
_atom_site_type_symbol
_atom_site_fract_x
_atom_site_fract_y
_atom_site_fract_z
_atom_site_occupancy
W1 W 0.752 0.752 0.504 1
Cu1 Cu 0.500 0.000 0.000 1
Sb1 Sb 0.000 0.500 0.000 1
W2 W 0.248 0.248 0.496 1
```

No. 5
Compound: LaRu2W
Source: Alexandria via LeMat-Bulk
Functional: SCAN
Structure: PBEsol geometry

Values from the calculation:
As for the space group: P4/mmm, No. 123. The calculation puts the formation energy from the elements at 0.430 eV/atom.

Geometry as CIF:
```
data_LaRu2W
_cell_length_a 3.007
_cell_length_b 4.804
_cell_length_c 4.804
_cell_angle_alpha 90.00
_cell_angle_beta 90.00
_cell_angle_gamma 90.00
_symmetry_space_group_name_H-M 'P 1'
_symmetry_Int_Tables_number 1
loop_
_symmetry_equiv_pos_as_xyz
'x,y,z'
loop_
_atom_site_label
_atom_site_type_symbol
_atom_site_fract_x
_atom_site_fract_y
_atom_site_fract_z
_atom_site_occupancy
Ru1 Ru 0.000 0.500 0.000 1
W1 W 0.500 0.500 0.500 1
La1 La 0.500 0.000 0.000 1
Ru2 Ru 0.000 0.000 0.500 1
```

No. 6
Compound: TlCuPb2
Source: Alexandria via LeMat-Bulk
Functional: SCAN
Structure: PBEsol geometry

Values from the calculation:
As for the space group: P4mm, No. 99. The calculation puts the formation energy from the elements at 0.197 eV/atom.

Geometry as CIF:
```
data_TlCuPb2
_cell_length_a 3.372
_cell_length_b 3.372
_cell_length_c 8.494
_cell_angle_alpha 90.00
_cell_angle_beta 90.00
_cell_angle_gamma 90.00
_symmetry_space_group_name_H-M 'P 1'
_symmetry_Int_Tables_number 1
loop_
_symmetry_equiv_pos_as_xyz
'x,y,z'
loop_
_atom_site_label
_atom_site_type_symbol
_atom_site_fract_x
_atom_site_fract_y
_atom_site_fract_z
_atom_site_occupancy
Tl1 Tl 0.000 0.000 0.549 1
Cu1 Cu 0.500 0.500 0.748 1
Pb1 Pb 0.000 0.000 0.948 1
Pb2 Pb 0.500 0.500 0.255 1
```

Number 1: final energy -11.18 eV/atom, calculated density 3.338 g cm⁻³. Number 2: final energy -15.20 eV/atom, calculated density 3.941 g cm⁻³. Number 3: final energy -16.39 eV/atom, calculated density 5.443 g cm⁻³. Number 4: final energy -47.34 eV/atom, calculated density 14.450 g cm⁻³. Number 5: final energy -45.18 eV/atom, calculated density 12.560 g cm⁻³. Number 6: final energy -59.58 eV/atom, calculated density 11.732 g cm⁻³.